1.
# UPaZn17 GGA-PBE optimized geometry
data_UPaZn17
_chemical_formula_sum 'U3 Pa3 Zn51'
_cell_length_a 8.9714
_cell_length_b 8.9714
_cell_length_c 13.1637
_cell_angle_alpha 90.00
_cell_angle_beta 90.00
_cell_angle_gamma 120.00
_space_group_name_H-M_alt 'R 3 m'
_space_group_IT_number 160
_space_group_name_Hall 'R 3 -2"'
loop_
_atom_site_label
_atom_site_type_symbol
_atom_site_fract_x
_atom_site_fract_y
_atom_site_fract_z
U1 U 0.0000 0.0000 0.0000
Pa1 Pa 0.0000 0.0000 0.6758
Zn1 Zn 0.0000 0.0000 0.2366
Zn2 Zn 0.0000 0.0000 0.4389
Zn3 Zn 0.9999 0.2967 0.3378
Zn4 Zn 0.9999 0.4999 0.8378
Zn5 Zn 0.0094 0.5047 0.4892
Zn6 Zn 0.1712 0.3424 0.5202
# **ΔH_f (0 K)**: -0.080 eV per atom

---

2.
# AcSm7Er2 GGA-PBE optimized geometry
data_AcSm7Er2
_chemical_formula_sum 'Ac2 Sm14 Er4'
_cell_length_a 8.9551
_cell_length_b 15.9556
_cell_length_c 5.8325
_cell_angle_alpha 90.00
_cell_angle_beta 90.00
_cell_angle_gamma 90.00
_space_group_name_H-M_alt 'C m m m'
_space_group_IT_number 65
_space_group_name_Hall '-C 2 2'
loop_
_atom_site_label
_atom_site_type_symbol
_atom_site_fract_x
_atom_site_fract_y
_atom_site_fract_z
Ac1 Ac 0.0000 0.0000 0.0000
Sm1 Sm 0.0000 0.2357 0.0000
Sm2 Sm 0.0000 0.5000 0.5000
Sm3 Sm 0.1797 0.1202 0.5000
Er1 Er 0.0000 0.2972 0.5000
# **ΔH_f (0 K)**: 0.637 eV per atom

---

3.
# Te2PBr GGA-PBE optimized geometry
data_Te2PBr
_chemical_formula_sum 'Te4 P2 Br2'
_cell_length_a 3.7087
_cell_length_b 5.4145
_cell_length_c 11.2199
_cell_angle_alpha 90.00
_cell_angle_beta 90.00
_cell_angle_gamma 90.00
_space_group_name_H-M_alt 'C m m 2'
_space_group_IT_number 35
_space_group_name_Hall 'C 2 -2'
loop_
_atom_site_label
_atom_site_type_symbol
_atom_site_fract_x
_atom_site_fract_y
_atom_site_fract_z
Te1 Te 0.0000 0.0000 0.0000
Te2 Te 0.0000 0.5000 0.3073
P1 P 0.0000 0.0000 0.4845
Br1 Br 0.0000 0.5000 0.6536
# **E_form (uncorrected)**: 0.4246 eV/atom

---

4.
# NaPd2Pb6 GGA-PBE optimized geometry
data_NaPd2Pb6
_chemical_formula_sum 'Na4 Pd8 Pb24'
_cell_length_a 9.1862
_cell_length_b 9.4550
_cell_length_c 10.9599
_cell_angle_alpha 90.00
_cell_angle_beta 90.00
_cell_angle_gamma 90.00
_space_group_name_H-M_alt 'I m m m'
_space_group_IT_number 71
_space_group_name_Hall '-I 2 2'
loop_
_atom_site_label
_atom_site_type_symbol
_atom_site_fract_x
_atom_site_fract_y
_atom_site_fract_z
Na1 Na 0.0000 0.0000 0.0000
Na2 Na 0.0000 0.0000 0.5000
Pd1 Pd 0.0000 0.3277 0.0000
Pd2 Pd 0.0000 0.5000 0.3671
Pb1 Pb 0.0000 0.2110 0.2504
Pb2 Pb 0.1967 0.5000 0.1663
Pb3 Pb 0.2056 0.3133 0.5000
# **ΔH_f (0 K)**: -0.162 eV per atom

---

5.
# HoPuZnIn GGA-PBE optimized geometry
data_HoPuZnIn
_chemical_formula_sum 'Ho4 Pu4 Zn4 In4'
_cell_length_a 7.3771
_cell_length_b 7.3771
_cell_length_c 7.3771
_cell_angle_alpha 90.00
_cell_angle_beta 90.00
_cell_angle_gamma 90.00
_space_group_name_H-M_alt 'F -4 3 m'
_space_group_IT_number 216
_space_group_name_Hall 'F -4 2 3'
loop_
_atom_site_label
_atom_site_type_symbol
_atom_site_fract_x
_atom_site_fract_y
_atom_site_fract_z
Ho1 Ho 0.0000 0.0000 0.0000
Pu1 Pu 0.0000 0.0000 0.5000
Zn1 Zn 0.2500 0.2500 0.7500
In1 In 0.2500 0.2500 0.2500
# **ΔH_f (0 K)**: -0.201 eV per atom

---

6.
# La2InBiO6 GGA-PBE optimized geometry
data_La2InBiO6
_chemical_formula_sum 'La2 In1 Bi1 O6'
_cell_length_a 5.5741
_cell_length_b 5.5741
_cell_length_c 5.6205
_cell_angle_alpha 90.00
_cell_angle_beta 90.00
_cell_angle_gamma 90.00
_space_group_name_H-M_alt 'P 4 m m'
_space_group_IT_number 99
_space_group_name_Hall 'P 4 -2'
loop_
_atom_site_label
_atom_site_type_symbol
_atom_site_fract_x
_atom_site_fract_y
_atom_site_fract_z
La1 La 0.0000 0.5000 0.0000
In1 In 0.0000 0.0000 0.5798
Bi1 Bi 0.5000 0.5000 0.5668
O1 O 0.0000 0.0000 0.2120
O2 O 0.2438 0.2438 0.7549
O3 O 0.5000 0.5000 0.1548
# **E_form (uncorrected)**: -2.2382 eV/atom

---

| no. | E_tot (eV/atom) | V (Å³/atom) |
| --- | --- | --- |
| 1 | -2.31 | 16.10 |
| 2 | -3.99 | 41.67 |
| 3 | -2.92 | 28.16 |
| 4 | -3.93 | 26.44 |
| 5 | -5.93 | 25.09 |
| 6 | -6.86 | 17.46 |